Entry 1:
A geometry-optimized ScAuSO structure. Source: OQMD via LeMat-Bulk, functional PBE.

a = 5.369 Å, b = 5.361 Å, c = 10.310 Å
α = 90.00°, β = 91.00°, γ = 90.00°
Fractional positions:
Au1 0.999 0.338 0.275
Au2 0.668 0.591 0.498
Au3 0.332 0.091 0.502
Au4 0.001 0.838 0.725
O1 0.748 0.074 0.000
O2 0.247 0.073 0.002
O3 0.753 0.573 0.998
O4 0.252 0.574 0.000
S1 0.690 0.636 0.274
S2 0.307 0.039 0.279
S3 0.693 0.539 0.721
S4 0.310 0.136 0.726
Sc1 0.002 0.823 0.092
Sc2 0.503 0.325 0.093
Sc3 0.497 0.825 0.907
Sc4 0.998 0.323 0.908

Output
Total energy = -6.51 eV per atom

---

Entry 2:
A geometry-optimized NbFeGeIr structure. Source: OQMD via LeMat-Bulk, functional PBE.

a = 4.402 Å, b = 4.402 Å, c = 4.402 Å
α = 60.00°, β = 60.00°, γ = 60.00°
Fractional positions:
Fe1 0.750 0.750 0.750
Ge1 0.000 0.000 0.000
Ir1 0.500 0.500 0.500
Nb1 0.250 0.250 0.250

Output
Total energy = -8.02 eV per atom

---

Entry 3:
A geometry-optimized NaNbTlCo structure. Source: OQMD via LeMat-Bulk, functional PBE.

a = 4.544 Å, b = 4.544 Å, c = 4.544 Å
α = 60.00°, β = 60.00°, γ = 60.00°
Fractional positions:
Co1 0.250 0.250 0.250
Na1 0.750 0.750 0.750
Nb1 0.500 0.500 0.500
Tl1 0.000 0.000 0.000

Output
Total energy = -4.73 eV per atom

---

Entry 4:
A geometry-optimized CdCuNiB structure. Source: OQMD via LeMat-Bulk, functional PBE.

a = 4.120 Å, b = 4.120 Å, c = 4.120 Å
α = 60.00°, β = 60.00°, γ = 60.00°
Fractional positions:
B1 0.000 0.000 0.000
Cd1 0.500 0.500 0.500
Cu1 0.750 0.750 0.750
Ni1 0.250 0.250 0.250

Output
Total energy = -3.58 eV per atom

---

Entry 5:
A geometry-optimized Al2ZnCu4Ni structure. Source: OQMD via LeMat-Bulk, functional PBE.

a = 7.260 Å, b = 7.260 Å, c = 7.260 Å
α = 133.39°, β = 133.39°, γ = 68.04°
Fractional positions:
Al1 0.001 0.001 0.000
Al2 0.499 0.499 0.000
Al3 0.749 0.249 0.500
Al4 0.251 0.751 0.500
Cu1 0.375 0.878 0.003
Cu2 0.128 0.625 0.003
Cu3 0.375 0.372 0.497
Cu4 0.622 0.625 0.497
Cu5 0.128 0.125 0.503
Cu6 0.875 0.878 0.503
Cu7 0.622 0.125 0.997
Cu8 0.875 0.372 0.997
Ni1 0.250 0.250 0.000
Ni2 0.500 0.000 0.500
Zn1 0.750 0.750 0.000
Zn2 0.000 0.500 0.500

Output
Total energy = -3.84 eV per atom

---

Entry 6:
A geometry-optimized ZrBeTlTe3 structure. Source: OQMD via LeMat-Bulk, functional PBE.

a = 8.292 Å, b = 8.292 Å, c = 10.889 Å
α = 90.00°, β = 90.00°, γ = 152.37°
Each line ends with the local moment (μB).
Fractional positions:
Be1 0.035 0.965 0.250  0.00
Be2 0.965 0.035 0.750  0.00
Te1 0.128 0.872 0.066  0.00
Te2 0.435 0.565 0.250  0.00
Te3 0.128 0.872 0.434  0.00
Te4 0.872 0.128 0.566  0.00
Te5 0.565 0.435 0.750  0.00
Te6 0.872 0.128 0.934  0.00
Tl1 0.751 0.249 0.250  0.01
Tl2 0.249 0.751 0.750  0.01
Zr1 0.500 0.500 0.000  0.10
Zr2 0.500 0.500 0.500  0.10

Output
Total energy = -4.50 eV per atom

---

Entry 7:
A geometry-optimized Cs2TlAgBr6 structure. Source: OQMD via LeMat-Bulk, functional PBE.

a = 7.953 Å, b = 7.953 Å, c = 7.953 Å
α = 119.97°, β = 119.97°, γ = 60.03°
Fractional positions:
Ag1 0.000 0.000 0.000
Br1 0.753 0.246 0.246
Br2 0.246 0.753 0.246
Br3 0.247 0.247 0.248
Br4 0.753 0.753 0.752
Br5 0.754 0.247 0.754
Br6 0.247 0.754 0.754
Cs1 0.750 0.750 0.250
Cs2 0.250 0.250 0.750
Tl1 0.500 0.500 0.500

Output
Total energy = -2.72 eV per atom

---

Entry 8:
A geometry-optimized ScTePd2 structure. Source: OQMD via LeMat-Bulk, functional PBE.

a = 4.711 Å, b = 4.711 Å, c = 4.711 Å
α = 60.00°, β = 60.00°, γ = 60.00°
Fractional positions:
Pd1 0.000 0.000 0.000
Pd2 0.250 0.250 0.250
Sc1 0.750 0.750 0.750
Te1 0.500 0.500 0.500

Output
Total energy = -5.57 eV per atom

---

Entry 9:
A geometry-optimized SmTlPd structure. Source: OQMD via LeMat-Bulk, functional PBE.

a = 7.678 Å, b = 7.678 Å, c = 4.074 Å
α = 90.00°, β = 90.00°, γ = 120.00°
Fractional positions:
Pd1 0.667 0.333 0.000
Pd2 0.333 0.667 0.000
Pd3 0.000 0.000 0.500
Sm1 0.590 0.000 0.500
Sm2 0.410 0.410 0.500
Sm3 0.000 0.590 0.500
Tl1 0.258 0.000 0.000
Tl2 0.000 0.258 0.000
Tl3 0.742 0.742 0.000

Output
Total energy = -4.73 eV per atom

---

Entry 10:
A geometry-optimized Re2GePd structure. Source: OQMD via LeMat-Bulk, functional PBE.

a = 4.403 Å, b = 4.403 Å, c = 4.403 Å
α = 60.00°, β = 60.00°, γ = 60.00°
Fractional positions:
Ge1 0.500 0.500 0.500
Pd1 0.250 0.250 0.250
Re1 0.000 0.000 0.000
Re2 0.750 0.750 0.750

Output
Total energy = -8.27 eV per atom

---

Entry 11:
A geometry-optimized CsNdCu3Se4 structure. Source: OQMD via LeMat-Bulk, functional PBE.

a = 6.682 Å, b = 6.682 Å, c = 6.682 Å
α = 90.00°, β = 90.00°, γ = 90.00°
Each line ends with the local moment (μB).
Fractional positions:
Cs1 0.000 0.000 0.000  0.00
Cu1 0.500 0.500 0.000  0.11
Cu2 0.500 0.000 0.500  0.18
Cu3 0.000 0.500 0.500  0.16
Nd1 0.500 0.500 0.500  0.00
Se1 0.270 0.270 0.270  0.09
Se2 0.730 0.730 0.270  0.07
Se3 0.730 0.270 0.730  0.06
Se4 0.270 0.730 0.730  0.07

Output
Total energy = -3.77 eV per atom

---

Entry 12:
A geometry-optimized SrLiCoTe structure. Source: OQMD via LeMat-Bulk, functional PBE.

a = 4.737 Å, b = 4.737 Å, c = 4.737 Å
α = 60.00°, β = 60.00°, γ = 60.00°
Fractional positions:
Co1 0.250 0.250 0.250
Li1 0.750 0.750 0.750
Sr1 0.000 0.000 0.000
Te1 0.500 0.500 0.500

Output
Total energy = -3.61 eV per atom

---

Calculated volume list, top to bottom, in Å³/cell: 296.7, 60.3, 66.4, 49.5, 198.6, 347.2, 355.9, 73.9, 208.0, 60.4, 298.4, 75.2